[1]
CuAgPt2 after structural relaxation, computed with PBE-GGA.

Cell: 4.435 4.435 3.139 Å, 90.00 90.00 90.00°
Atoms (fractional coordinates):
Ag (0.500, 0.000, 0.500)
Pt (0.000, 0.000, 0.000)
Pt (0.500, 0.500, 0.000)
Cu (0.000, 0.500, 0.500)

Computed properties:
excess energy over the best structure of this formula in the dataset	0.2366	eV/atom
E_tot	-4.6557	eV per atom
density	15.1	g/cm³


[2]
CeUHg after structural relaxation, computed with PBE-GGA.

Cell: 3.813 5.384 7.478 Å, 96.90 90.00 110.74°
Atoms (fractional coordinates):
U (0.335, 0.671, 0.970)
Ce (0.044, 0.088, 0.230)
Ce (0.956, 0.912, 0.770)
Hg (0.656, 0.313, 0.586)
U (0.665, 0.329, 0.030)
Hg (0.344, 0.687, 0.414)

Computed properties:
E_tot	-5.7873	eV per atom
density	13.5	g/cm³


[3]
ThGa4Cu2Ni after structural relaxation, computed with PBE-GGA.

Cell: 4.190 4.190 9.036 Å, 76.59 76.59 60.00°
Atoms (fractional coordinates):
Cu (0.762, 0.762, 0.713)
Ga (0.132, 0.132, 0.603)
Ga (0.405, 0.405, 0.786)
Ga (0.868, 0.868, 0.397)
Cu (0.238, 0.238, 0.287)
Ni (0.500, 0.500, 0.500)
Th (0.000, 0.000, 0.000)
Ga (0.595, 0.595, 0.214)

Computed properties:
E_tot	-4.5006	eV per atom
density	8.7	g/cm³


[4]
K3Hg12I5 after structural relaxation, computed with PBE-GGA.

Cell: 16.988 16.988 16.988 Å, 109.47 109.47 109.47°
Atoms (fractional coordinates):
Hg (0.902, 0.832, 0.765)
Hg (0.168, 0.098, 0.735)
Hg (0.832, 0.930, 0.066)
Hg (0.636, 0.066, 0.235)
I (0.750, 0.125, 0.875)
Hg (0.066, 0.430, 0.832)
Hg (0.566, 0.332, 0.930)
I (0.750, 0.625, 0.375)
Hg (0.136, 0.735, 0.566)
K (0.625, 0.250, 0.375)
Hg (0.402, 0.265, 0.332)
Hg (0.570, 0.636, 0.402)
I (0.875, 0.625, 0.750)
Hg (0.066, 0.636, 0.735)
I (0.000, 0.500, 0.500)
Hg (0.864, 0.265, 0.434)
K (0.375, 0.625, 0.250)
Hg (0.168, 0.070, 0.934)
I (0.375, 0.125, 0.750)
Hg (0.930, 0.098, 0.864)
Hg (0.235, 0.566, 0.636)
Hg (0.570, 0.934, 0.668)
K (0.875, 0.125, 0.250)
I (0.250, 0.375, 0.625)
Hg (0.765, 0.332, 0.902)
Hg (0.832, 0.902, 0.265)
Hg (0.070, 0.902, 0.136)
Hg (0.864, 0.598, 0.930)
K (0.250, 0.125, 0.375)
Hg (0.430, 0.364, 0.598)
Hg (0.434, 0.668, 0.070)
Hg (0.930, 0.832, 0.566)
K (0.250, 0.625, 0.875)
I (0.625, 0.750, 0.875)
I (0.375, 0.250, 0.125)
Hg (0.765, 0.434, 0.364)
Hg (0.934, 0.570, 0.168)
Hg (0.364, 0.430, 0.098)
I (0.125, 0.750, 0.375)
Hg (0.098, 0.930, 0.364)
Hg (0.402, 0.136, 0.570)
Hg (0.668, 0.235, 0.598)
K (0.125, 0.875, 0.750)
Hg (0.735, 0.598, 0.168)
Hg (0.636, 0.570, 0.902)
Hg (0.265, 0.402, 0.832)
Hg (0.735, 0.136, 0.066)
I (0.500, 0.000, 0.500)
Hg (0.598, 0.864, 0.430)
Hg (0.430, 0.066, 0.332)
Hg (0.434, 0.765, 0.864)
I (0.125, 0.375, 0.250)
Hg (0.902, 0.070, 0.636)
Hg (0.070, 0.168, 0.434)
I (0.500, 0.500, 0.500)
I (0.250, 0.875, 0.125)
Hg (0.566, 0.235, 0.136)
Hg (0.265, 0.864, 0.934)
Hg (0.136, 0.402, 0.070)
K (0.125, 0.250, 0.875)
Hg (0.332, 0.566, 0.430)
I (0.000, 0.000, 0.000)
Hg (0.668, 0.434, 0.570)
K (0.875, 0.750, 0.125)
K (0.750, 0.875, 0.625)
Hg (0.098, 0.168, 0.235)
Hg (0.332, 0.765, 0.402)
Hg (0.598, 0.735, 0.668)
I (0.000, 0.000, 0.500)
I (0.500, 0.000, 0.000)
I (0.625, 0.875, 0.250)
I (0.875, 0.250, 0.625)
K (0.375, 0.750, 0.625)
Hg (0.364, 0.934, 0.765)
Hg (0.235, 0.668, 0.098)
I (0.000, 0.500, 0.000)
K (0.625, 0.375, 0.750)
K (0.750, 0.375, 0.125)
I (0.500, 0.500, 0.000)
Hg (0.934, 0.364, 0.265)

Computed properties:
E_tot	-0.9445	eV per atom
formation energy without anion corrections	-211	meV per atom
density	5.6	g/cm³


[5]
Cs3ScPa3Te8 after structural relaxation, computed with PBE-GGA.

Cell: 8.758 8.760 10.588 Å, 114.47 90.00 119.99°
Atoms (fractional coordinates):
Te (0.776, 0.036, 0.312)
Cs (0.500, 0.500, 0.000)
Cs (0.000, 0.000, 0.000)
Sc (0.000, 0.000, 0.500)
Te (0.260, 0.036, 0.312)
Pa (0.500, 0.000, 0.500)
Te (0.776, 0.552, 0.312)
Te (0.267, 0.535, 0.302)
Te (0.740, 0.964, 0.688)
Pa (0.500, 0.500, 0.500)
Te (0.224, 0.964, 0.688)
Te (0.224, 0.448, 0.688)
Cs (0.000, 0.500, 0.000)
Te (0.733, 0.465, 0.698)
Pa (0.000, 0.500, 0.500)

Computed properties:
E_tot	-5.1661	eV per atom
formation energy without anion corrections	-999	meV per atom
density	5.8	g/cm³


[6]
MgIn3As after structural relaxation, computed with PBE-GGA.

Cell: 5.424 5.424 5.424 Å, 90.00 90.00 90.00°
Atoms (fractional coordinates):
In (0.000, 0.500, 0.000)
In (0.500, 0.000, 0.000)
As (0.000, 0.000, 0.000)
In (0.000, 0.000, 0.500)
Mg (0.500, 0.500, 0.500)

Computed properties:
excess energy over the best structure of this formula in the dataset	0.0000	eV/atom
E_tot	-2.5543	eV per atom
density	4.6	g/cm³